Material: DyNiPt3
Method: DFT, PBE-GGA
State: relaxed

Unit cell a=4.411 b=6.459 c=6.103 alpha=90.00 beta=90.00 gamma=90.00
Positions (direct):
Dy1 0.250 0.250 0.242
Dy2 0.750 0.750 0.758
Ni1 0.250 0.750 0.451
Ni2 0.750 0.250 0.549
Pt1 0.250 0.049 0.723
Pt2 0.250 0.451 0.723
Pt3 0.250 0.750 0.055
Pt4 0.750 0.250 0.945
Pt5 0.750 0.549 0.277
Pt6 0.750 0.951 0.277

Summary:
Mass density   15.405 Mg/m³
Relative energy among the computed polymorphs   0.430 eV/f.u.
Density of states at the Fermi level   1.18 states/eV/atom
E   -6.245 eV/atom
Energy of formation   -0.54 eV/atom